Compound: Na2InP
Source: the Alexandria database
Functional: GGA-PBE
Structure: optimized geometry

Cell lengths 4.313, 4.313, 10.824 Å; angles 78.51, 78.51, 90.00 degrees
Element x y z (fractional)
P: 0.500 0.500 0.000
P: 0.250 0.750 0.500
Na: 0.595 0.125 0.250
Na: 0.155 0.625 0.250
Na: 0.375 0.405 0.750
Na: 0.875 0.845 0.750
In: 0.000 0.000 0.000
In: 0.750 0.250 0.500

Summary:
Its symmetry is No. 122. The value obtained for the calculated volume is 24.146 A^3/atom. Its energy above the lowest structure with this stoichiometry is 179 meV/atom. The value obtained for the density of states at the Fermi level is 4.1 states/eV per cell. For the formation energy, the calculation gives 0.097 eV per atom.

---

Compound: Na3In2P3
Source: the Alexandria database
Functional: GGA-PBE
Structure: optimized geometry

Cell lengths 4.211, 6.802, 14.182 Å; angles 90.00, 90.00, 108.03 degrees
Element x y z (fractional)
Na: 0.968 0.936 0.375
Na: 0.032 0.064 0.875
Na: 0.968 0.936 0.125
Na: 0.032 0.064 0.625
Na: 0.707 0.415 0.250
Na: 0.293 0.585 0.750
In: 0.745 0.490 0.906
In: 0.255 0.510 0.406
In: 0.745 0.490 0.594
In: 0.255 0.510 0.094
P: 0.633 0.265 0.439
P: 0.367 0.735 0.939
P: 0.633 0.265 0.061
P: 0.367 0.735 0.561
P: 0.365 0.730 0.250
P: 0.635 0.270 0.750

Summary:
Its symmetry is No. 63. The value obtained for the calculated volume is 24.140 A^3/atom. The value obtained for the density of states at the Fermi level is 1.0 states/eV per cell. For the formation energy, the calculation gives -0.281 eV per atom.

---

Compound: Na3InP2Pd9
Source: the Alexandria database
Functional: GGA-PBE
Structure: optimized geometry

Cell lengths 6.104, 6.104, 9.593 Å; angles 90.00, 90.00, 120.00 degrees
Element x y z (fractional)
Na: 0.333 0.667 0.685
Na: 0.000 0.000 0.000
Na: 0.667 0.333 0.315
In: 0.000 0.000 0.500
P: 0.333 0.667 0.157
P: 0.667 0.333 0.843
Pd: 0.851 0.149 0.733
Pd: 0.851 0.703 0.733
Pd: 0.297 0.149 0.733
Pd: 0.703 0.851 0.267
Pd: 0.149 0.297 0.267
Pd: 0.149 0.851 0.267
Pd: 0.500 0.000 0.000
Pd: 0.000 0.500 0.000
Pd: 0.500 0.500 0.000

Summary:
Its symmetry is No. 164. The value obtained for the calculated volume is 20.635 A^3/atom. The value obtained for the density of states at the Fermi level is 8.3 states/eV per cell. For the formation energy, the calculation gives -0.304 eV per atom.

---

Compound: Na2InPPd6
Source: the Alexandria database
Functional: GGA-PBE
Structure: optimized geometry

Cell lengths 5.913, 7.859, 8.831 Å; angles 90.00, 90.00, 90.00 degrees
Element x y z (fractional)
Na: 0.500 0.710 0.291
Na: 0.000 0.290 0.791
Na: 0.500 0.710 0.709
Na: 0.000 0.290 0.209
In: 0.000 0.688 0.500
In: 0.500 0.312 0.000
P: 0.500 0.199 0.500
P: 0.000 0.801 0.000
Pd: 0.500 0.104 0.254
Pd: 0.500 0.104 0.746
Pd: 0.000 0.896 0.246
Pd: 0.000 0.896 0.754
Pd: 0.228 0.996 0.500
Pd: 0.772 0.996 0.500
Pd: 0.230 0.396 0.500
Pd: 0.770 0.396 0.500
Pd: 0.730 0.604 0.000
Pd: 0.270 0.604 0.000
Pd: 0.272 0.004 0.000
Pd: 0.728 0.004 0.000

Summary:
Its symmetry is No. 59. The value obtained for the calculated volume is 20.518 A^3/atom. The value obtained for the density of states at the Fermi level is 9.2 states/eV per cell. For the formation energy, the calculation gives -0.288 eV per atom.

---

Q: The highest calculated volume belongs to which entry?
A: Na2InP